# 1
An optimized crystal structure of PmPr3Y2Ho6, computed with PBE.

Uncorrected energy (eV/f.u.): -59.26

Lattice parameters (Å, degrees): 6.229 6.229 11.852 95.01 95.01 119.98
Sites, in units of the cell vectors:
Pm 0.000 0.000 0.000
Pr 0.167 0.833 0.500
Pr 0.500 0.500 0.500
Pr 0.833 0.167 0.500
Y 0.333 0.667 0.000
Y 0.667 0.333 0.000
Ho 0.083 0.416 0.247
Ho 0.250 0.250 0.752
Ho 0.416 0.083 0.247
Ho 0.584 0.917 0.753
Ho 0.750 0.750 0.248
Ho 0.917 0.584 0.753



# 2
An optimized crystal structure of PmPr2Y6Ho3, computed with PBE.

Uncorrected energy (eV/f.u.): -66.59

Lattice parameters (Å, degrees): 6.225 6.225 11.862 95.01 95.01 119.96
Sites, in units of the cell vectors:
Pm 0.000 0.000 0.000
Pr 0.333 0.667 0.000
Pr 0.667 0.333 0.000
Y 0.085 0.418 0.254
Y 0.248 0.248 0.746
Y 0.418 0.085 0.254
Y 0.582 0.915 0.746
Y 0.752 0.752 0.254
Y 0.915 0.582 0.746
Ho 0.167 0.833 0.500
Ho 0.500 0.500 0.500
Ho 0.833 0.167 0.500



# 3
An optimized crystal structure of Pm2Pr2YHo2, computed with PBE.

Uncorrected energy (eV/f.u.): -33.80

Lattice parameters (Å, degrees): 8.904 8.904 8.904 37.73 37.73 37.73
Sites, in units of the cell vectors:
Pm 0.216 0.216 0.216
Pm 0.784 0.784 0.784
Pr 0.361 0.361 0.361
Pr 0.639 0.639 0.639
Y 0.500 0.500 0.500
Ho 0.072 0.072 0.072
Ho 0.928 0.928 0.928



- uncorrected energy of number 1 (PmPr3Y2Ho6)?
  -59.26 eV/f.u.



- uncorrected energy of number 1 (PmPr3Y2Ho6)?
  -59.26 eV/f.u.